1.
Computed, not measured: a geometry-optimized CsNiAs2S8 structure at the PBE-GGA level of DFT.

The structure in POSCAR format:
```
CsNiAs2S8
1.0
5.6461 0.0000 0.0000
2.8231 4.8897 0.0000
2.8231 1.6299 11.5491
Cs Ni As S
1 1 2 8
direct
0.5000 0.5000 0.5000
0.0000 0.0000 0.0000
0.2711 0.2711 0.1866
0.7289 0.7289 0.8134
0.2099 0.2099 0.3702
0.6699 0.3023 0.1223
0.7901 0.7901 0.6298
0.9055 0.6699 0.1223
0.0945 0.3301 0.8777
0.3023 0.9055 0.1223
0.6977 0.0945 0.8777
0.3301 0.6977 0.8777
```

2.
CsNiAsSe2 PBE-GGA optimized geometry; energy above the lowest structure with this stoichiometry = 0 meV/atom
1.0
5.2614 0.0000 0.0000
0.0000 5.2614 0.0000
0.0000 0.0000 4.5298
Cs Ni As Se
1 1 1 2
direct
0.5000 0.5000 0.5000
0.0000 0.0000 0.0000
0.0000 0.0000 0.5000
0.0000 0.5000 0.0000
0.5000 0.0000 0.0000

3.
CsNiAsSe2 PBE-GGA optimized geometry; energy above the lowest structure with this stoichiometry = 1952 meV/atom
1.0
5.6931 0.0000 0.0000
0.0000 5.6931 0.0000
0.0000 0.0000 5.9384
Cs Ni As Se
1 1 1 2
direct
0.0000 0.0000 0.0000
0.5000 0.5000 0.5000
0.0000 0.0000 0.5000
0.0000 0.5000 0.0000
0.5000 0.0000 0.0000

4.
Computed, not measured: a geometry-optimized Cs2NiAsSe4 structure at the PBE-GGA level of DFT.

The structure in POSCAR format:
```
Cs2NiAsSe4
1.0
-6.3061 -2.6437 0.0657
-0.9456 -6.5187 2.7898
-5.2021 3.8489 11.4206
Cs Ni As Se
4 2 2 8
direct
0.1865 0.0000 0.6270
0.8135 0.0000 0.3730
0.5635 0.5000 0.8730
0.9365 0.5000 0.1270
0.2500 0.5000 0.5000
0.5000 0.0000 0.0000
0.7500 0.5000 0.5000
0.0000 0.0000 0.0000
0.2678 0.8792 0.1199
0.2668 0.1208 0.8801
0.8530 0.8792 0.8801
0.6123 0.1208 0.1199
0.4822 0.6208 0.3801
0.4832 0.3792 0.6199
0.8970 0.6208 0.6199
0.1377 0.3792 0.3801
```

The calculation returns the following N(E_F) values, one per record and in order: 6.08, 4.63, 18.97, 9.56 states/eV per cell.
The calculation returns the following energy relative to the elements, uncorrected values, one per record and in order: -1.8, -1.6, 43.4, -12.8 kcal/mol of atoms.
The calculation returns the following energy values, one per record and in order: -4.16, -3.72, -1.77, -3.81 eV/atom.